The following is a DFT calculation (PBE) of an optimized crystal structure of BeCd2Mo.

Unit cell a=5.570 b=5.570 c=4.593 alpha=65.69 beta=65.69 gamma=29.96
Positions (direct):
Be  0.250  0.250  0.250
Mo  0.750  0.750  0.750
Cd  0.964  0.964  0.036
Cd  0.536  0.536  0.464

V   64.4 Å³ per cell
ΔE_f   460 meV/atom